Entry 1:
NaCuPt | PBE | relaxed

Structure (POSCAR):
```
NaCuPt
1.0
7.032 0.000 0.000
0.000 7.032 0.000
0.000 0.000 5.268
Na Cu Pt
4 4 4
Direct
0.239 0.239 0.500 Na
0.739 0.261 0.250 Na
0.761 0.761 0.000 Na
0.261 0.739 0.750 Na
0.712 0.712 0.500 Cu
0.212 0.788 0.250 Cu
0.788 0.212 0.750 Cu
0.288 0.288 0.000 Cu
0.040 0.040 0.000 Pt
0.960 0.960 0.500 Pt
0.460 0.540 0.250 Pt
0.540 0.460 0.750 Pt
```

Summary:
magnetization = 0.00 μB/f.u.
D(E_F) = 4.05 states/eV per cell
ΔE_f = 96.5 meV/atom
VASP energy = -3.722 eV per atom

=====

Entry 2:
LiHo3Cd12 | PBE | relaxed

Structure (POSCAR):
```
LiHo3Cd12
1.0
4.537 0.000 0.000
0.000 4.537 0.000
0.000 0.000 17.962
Cd Ho Li
12 3 1
Direct
0.500 0.000 0.113 Cd
0.500 0.500 0.237 Cd
0.000 0.500 0.113 Cd
0.000 0.500 0.630 Cd
0.000 0.500 0.370 Cd
0.500 0.500 0.500 Cd
0.000 0.500 0.887 Cd
0.500 0.000 0.370 Cd
0.500 0.500 0.000 Cd
0.500 0.500 0.763 Cd
0.500 0.000 0.630 Cd
0.500 0.000 0.887 Cd
0.000 0.000 0.500 Ho
0.000 0.000 0.761 Ho
0.000 0.000 0.239 Ho
0.000 0.000 0.000 Li
```

Summary:
magnetization = 0.00 μB/f.u.
D(E_F) = 7.57 states/eV per cell
ΔE_f = -225.9 meV/atom
VASP energy = -1.890 eV per atom

=====

Entry 3:
CuOsW2 | PBE | relaxed

Structure (POSCAR):
```
CuOsW2
1.0
-3.932 -1.207 -1.518
-2.179 -3.282 1.923
-3.608 0.841 2.345
Os W Cu
1 2 1
Direct
0.750 0.750 0.750 Os
0.000 0.000 0.000 W
0.250 0.250 0.250 W
0.500 0.500 0.500 Cu
```

Summary:
magnetization = 0.00 μB/f.u.
D(E_F) = 2.96 states/eV per cell
ΔE_f = 344.8 meV/atom
VASP energy = -9.963 eV per atom

=====

Entry 4:
Na6CaCl8 | PBE | relaxed

Structure (POSCAR):
```
Na6CaCl8
1.0
0.472 8.029 0.882
-6.049 4.044 3.538
1.035 3.207 7.355
Cl Na Ca
8 6 1
Direct
0.761 0.239 0.239 Cl
0.761 0.761 0.239 Cl
0.761 0.239 0.761 Cl
0.239 0.761 0.239 Cl
0.239 0.239 0.761 Cl
0.750 0.750 0.750 Cl
0.239 0.761 0.761 Cl
0.250 0.250 0.250 Cl
0.500 0.000 0.000 Na
0.000 0.000 0.500 Na
0.000 0.500 0.000 Na
0.500 0.000 0.500 Na
0.000 0.500 0.500 Na
0.500 0.500 0.000 Na
0.000 0.000 0.000 Ca
```

Summary:
magnetization = 0.00 μB/f.u.
D(E_F) = 0.00 states/eV per cell
VASP energy = -3.569 eV per atom

=====

Entry 5:
TmO4 | PBE | relaxed

Structure (POSCAR):
```
TmO4
1.0
-2.571 1.412 -3.282
3.005 -1.331 -2.927
-1.932 -3.950 -0.187
O Tm
4 1
Direct
0.000 0.000 0.000 O
0.500 0.000 0.500 O
0.500 0.500 0.000 O
0.000 0.500 0.500 O
0.500 0.500 0.500 Tm
```

Summary:
magnetization = 5.00 μB/f.u.
D(E_F) = 3.55 states/eV per cell
VASP energy = -5.387 eV per atom

=====

Entry 6:
TeIr3N | PBE | relaxed

Structure (POSCAR):
```
TeIr3N
1.0
-1.782 -4.510 -0.217
1.735 -0.468 -4.509
4.168 -1.733 1.784
Ir N Te
3 1 1
Direct
0.000 0.500 0.000 Ir
0.500 0.000 0.000 Ir
0.000 0.000 0.500 Ir
0.500 0.500 0.500 N
0.000 0.000 0.000 Te
```

Summary:
magnetization = 0.92 μB/f.u.
D(E_F) = 8.88 states/eV per cell
VASP energy = -4.608 eV per atom

=====

Entry 7:
TiTc2N | PBE | relaxed

Structure (POSCAR):
```
TiTc2N
1.0
-0.189 -2.006 6.656
-1.296 -6.532 -2.005
1.404 -4.676 2.264
Tc N Ti
4 2 2
Direct
0.509 0.125 0.250 Tc
0.375 0.491 0.750 Tc
0.241 0.625 0.250 Tc
0.875 0.759 0.750 Tc
0.500 0.500 0.000 N
0.250 0.750 0.500 N
0.000 0.000 0.000 Ti
0.750 0.250 0.500 Ti
```

Summary:
magnetization = 0.00 μB/f.u.
D(E_F) = 7.11 states/eV per cell
VASP energy = -9.472 eV per atom

=====

Entry 8:
PrCdGa | PBE | relaxed

Structure (POSCAR):
```
PrCdGa
1.0
-0.267 -3.400 1.660
-0.720 -2.006 -4.224
8.213 -1.079 -0.887
Pr Ga Cd
2 2 2
Direct
0.311 0.216 0.671 Pr
0.311 0.716 0.122 Pr
0.812 0.216 0.980 Ga
0.813 0.716 0.813 Ga
0.811 0.716 0.483 Cd
0.811 0.216 0.310 Cd
```

Summary:
magnetization = 0.00 μB/f.u.
D(E_F) = 4.02 states/eV per cell
ΔE_f = -474.4 meV/atom
VASP energy = -3.382 eV per atom

=====

Entry 9:
Rb2MgZnCl6 | PBE | relaxed

Structure (POSCAR):
```
Rb2MgZnCl6
1.0
-1.050 2.622 6.589
-5.666 -2.126 3.843
4.223 -8.769 8.062
Zn Cl Mg Rb
2 12 2 4
Direct
0.587 0.587 0.240 Zn
0.413 0.413 0.760 Zn
0.614 0.614 0.631 Cl
0.386 0.386 0.369 Cl
0.792 0.792 0.122 Cl
0.293 0.792 0.122 Cl
0.614 0.141 0.631 Cl
0.208 0.707 0.878 Cl
0.792 0.293 0.122 Cl
0.386 0.859 0.369 Cl
0.208 0.208 0.878 Cl
0.707 0.208 0.878 Cl
0.141 0.614 0.631 Cl
0.859 0.386 0.369 Cl
0.000 0.000 0.000 Mg
0.500 0.500 0.500 Mg
0.124 0.124 0.629 Rb
0.709 0.709 0.873 Rb
0.876 0.876 0.371 Rb
0.291 0.291 0.127 Rb
```

Summary:
magnetization = 0.00 μB/f.u.
D(E_F) = 0.00 states/eV per cell
VASP energy = -3.265 eV per atom

=====

Entry 10:
PmInGaGe | PBE | relaxed

Structure (POSCAR):
```
PmInGaGe
1.0
5.097 0.000 0.000
2.548 4.414 0.000
2.548 1.471 4.161
In Ge Ga Pm
1 1 1 1
Direct
0.500 0.500 0.500 In
0.250 0.250 0.250 Ge
0.750 0.750 0.750 Ga
0.000 0.000 0.000 Pm
```

Summary:
magnetization = 0.00 μB/f.u.
D(E_F) = 3.54 states/eV per cell
ΔE_f = -230.8 meV/atom
VASP energy = -4.014 eV per atom

=====

Entry 11:
AcPa2ReC4 | PBE | relaxed

Structure (POSCAR):
```
AcPa2ReC4
1.0
3.671 0.000 0.000
-1.835 6.141 0.000
0.000 0.000 12.285
Pa Re C Ac
4 2 8 2
Direct
0.368 0.735 0.956 Pa
0.632 0.265 0.044 Pa
0.632 0.265 0.456 Pa
0.368 0.735 0.544 Pa
0.838 0.676 0.750 Re
0.162 0.324 0.250 Re
0.747 0.494 0.617 C
0.409 0.818 0.750 C
0.253 0.506 0.117 C
0.000 0.000 0.000 C
0.747 0.494 0.883 C
0.591 0.182 0.250 C
0.253 0.506 0.383 C
0.000 0.000 0.500 C
0.901 0.802 0.250 Ac
0.099 0.198 0.750 Ac
```

Summary:
magnetization = 0.00 μB/f.u.
D(E_F) = 12.68 states/eV per cell
ΔE_f = -146.6 meV/atom
VASP energy = -9.202 eV per atom

=====

Entry 12:
KMnOs2 | PBE | relaxed

Structure (POSCAR):
```
KMnOs2
1.0
-0.629 4.296 3.938
-2.325 -0.749 5.328
4.051 -0.943 -4.130
Mn Os K
1 2 1
Direct
0.250 0.750 0.500 Mn
0.034 0.034 0.000 Os
0.466 0.466 0.000 Os
0.750 0.250 0.500 K
```

Summary:
magnetization = 2.83 μB/f.u.
D(E_F) = 3.16 states/eV per cell
ΔE_f = 1005.9 meV/atom
VASP energy = -7.176 eV per atom